(1)
# FeAs3 (PBE-GGA, relaxed)
data_FeAs3
_chemical_formula_sum 'Fe2 As6'
_symmetry_space_group_name_H-M 'P m m n'
_symmetry_Int_Tables_number 59
_cell_length_a 3.0100
_cell_length_b 5.2493
_cell_length_c 8.8792
_cell_angle_alpha 90.00
_cell_angle_beta 90.00
_cell_angle_gamma 90.00
loop_
_symmetry_equiv_pos_as_xyz
'x,y,z'
'-x,-y,-z'
'-x+1/2,-y+1/2,z'
'x+1/2,y+1/2,-z'
'x+1/2,-y,-z'
'-x+1/2,y,z'
'-x,y+1/2,-z'
'x,-y+1/2,z'
loop_
_atom_site_label
_atom_site_type_symbol
_atom_site_fract_x
_atom_site_fract_y
_atom_site_fract_z
Fe1 Fe 0.2500 0.2500 0.1658
As1 As 0.2500 0.5105 0.6626
As2 As 0.2500 0.7500 0.0530
# * energy of formation: 0.095 eV per atom
# * relative energy among the computed polymorphs: 48.2 meV per atom
# * crystal system: orthorhombic

***

(2)
# CuTeSeI2 (PBE-GGA, relaxed)
data_CuTeSeI2
_chemical_formula_sum 'Cu1 Te1 Se1 I2'
_symmetry_space_group_name_H-M 'P 4/m m m'
_symmetry_Int_Tables_number 123
_symmetry_space_group_name_Hall '-P 4 2'
_cell_length_a 5.1659
_cell_length_b 5.1659
_cell_length_c 5.4866
_cell_angle_alpha 90.00
_cell_angle_beta 90.00
_cell_angle_gamma 90.00
loop_
_atom_site_label
_atom_site_type_symbol
_atom_site_fract_x
_atom_site_fract_y
_atom_site_fract_z
Cu1 Cu 0.0000 0.0000 0.0000
Te1 Te 0.0000 0.0000 0.5000
Se1 Se 0.5000 0.5000 0.5000
I1 I 0.0000 0.5000 0.0000
# * relative energy among the computed polymorphs: 0.0 meV per atom
# * raw formation energy: 0.508 eV/atom
# * crystal system: tetragonal

***

(3)
# ZnClF (PBE-GGA, relaxed)
data_ZnClF
_chemical_formula_sum 'Zn1 Cl1 F1'
_symmetry_space_group_name_H-M 'P 3 m 1'
_symmetry_Int_Tables_number 156
_cell_length_a 3.4076
_cell_length_b 3.4076
_cell_length_c 5.5070
_cell_angle_alpha 90.00
_cell_angle_beta 90.00
_cell_angle_gamma 120.00
loop_
_symmetry_equiv_pos_as_xyz
'x,y,z'
'-y,x-y,z'
'-x+y,-x,z'
'-y,-x,z'
'-x+y,y,z'
'x,x-y,z'
loop_
_atom_site_label
_atom_site_type_symbol
_atom_site_fract_x
_atom_site_fract_y
_atom_site_fract_z
Zn1 Zn 0.0000 0.0000 0.0000
Cl1 Cl 0.6667 0.3333 0.2578
F1 F 0.3333 0.6667 0.8346
# * relative energy among the computed polymorphs: 83.6 meV per atom
# * raw formation energy: -1.598 eV/atom
# * crystal system: trigonal

***

(4)
# ErTmTeC (PBE-GGA, relaxed)
data_ErTmTeC
_chemical_formula_sum 'Er3 Tm3 Te3 C3'
_symmetry_space_group_name_H-M 'R 3 m'
_symmetry_Int_Tables_number 160
_symmetry_space_group_name_Hall 'R 3 -2"'
_cell_length_a 3.7615
_cell_length_b 3.7615
_cell_length_c 21.0756
_cell_angle_alpha 90.00
_cell_angle_beta 90.00
_cell_angle_gamma 120.00
loop_
_atom_site_label
_atom_site_type_symbol
_atom_site_fract_x
_atom_site_fract_y
_atom_site_fract_z
Er1 Er 0.0000 0.0000 0.0000
Tm1 Tm 0.0000 0.0000 0.7892
Te1 Te 0.0000 0.0000 0.2273
C1 C 0.0000 0.0000 0.3963
# * raw formation energy: -0.842 eV/atom
# * crystal system: trigonal

***

(5)
# Ce2Tc (PBE-GGA, relaxed)
data_Ce2Tc
_chemical_formula_sum 'Ce4 Tc2'
_symmetry_space_group_name_H-M 'C 1 2/m 1'
_symmetry_Int_Tables_number 12
_cell_length_a 4.8827
_cell_length_b 4.8652
_cell_length_c 5.8377
_cell_angle_alpha 90.00
_cell_angle_beta 114.58
_cell_angle_gamma 90.00
loop_
_symmetry_equiv_pos_as_xyz
'x,y,z'
'-x,-y,-z'
'-x,y,-z'
'x,-y,z'
'x+1/2,y+1/2,z'
'-x+1/2,-y+1/2,-z'
'-x+1/2,y+1/2,-z'
'x+1/2,-y+1/2,z'
loop_
_atom_site_label
_atom_site_type_symbol
_atom_site_fract_x
_atom_site_fract_y
_atom_site_fract_z
Ce1 Ce 0.1623 0.0000 0.3235
Tc1 Tc 0.0000 0.5000 0.0000
# * energy of formation: -0.122 eV per atom
# * relative energy among the computed polymorphs: 0.0 meV per atom
# * crystal system: monoclinic

***

(6)
# NaTl2Pt2 (PBE-GGA, relaxed)
data_NaTl2Pt2
_chemical_formula_sum 'Na4 Tl8 Pt8'
_symmetry_space_group_name_H-M 'C 1 2/c 1'
_symmetry_Int_Tables_number 15
_cell_length_a 12.6433
_cell_length_b 5.8631
_cell_length_c 8.1941
_cell_angle_alpha 90.00
_cell_angle_beta 125.93
_cell_angle_gamma 90.00
loop_
_symmetry_equiv_pos_as_xyz
'x,y,z'
'-x,-y,-z'
'-x,y,-z+1/2'
'x,-y,z+1/2'
'x+1/2,y+1/2,z'
'-x+1/2,-y+1/2,-z'
'-x+1/2,y+1/2,-z+1/2'
'x+1/2,-y+1/2,z+1/2'
loop_
_atom_site_label
_atom_site_type_symbol
_atom_site_fract_x
_atom_site_fract_y
_atom_site_fract_z
Na1 Na 0.0000 0.1381 0.2500
Tl1 Tl 0.2217 0.4182 0.8125
Pt1 Pt 0.0648 0.3573 0.9512
# * energy of formation: -0.141 eV per atom
# * relative energy among the computed polymorphs: 0.0 meV per atom
# * crystal system: monoclinic

***

(7)
# Er2ZnIr2 (PBE-GGA, relaxed)
data_Er2ZnIr2
_chemical_formula_sum 'Er8 Zn4 Ir8'
_symmetry_space_group_name_H-M 'C 1 2/c 1'
_symmetry_Int_Tables_number 15
_cell_length_a 10.0125
_cell_length_b 5.3577
_cell_length_c 7.8165
_cell_angle_alpha 90.00
_cell_angle_beta 106.63
_cell_angle_gamma 90.00
loop_
_symmetry_equiv_pos_as_xyz
'x,y,z'
'-x,-y,-z'
'-x,y,-z+1/2'
'x,-y,z+1/2'
'x+1/2,y+1/2,z'
'-x+1/2,-y+1/2,-z'
'-x+1/2,y+1/2,-z+1/2'
'x+1/2,-y+1/2,z+1/2'
loop_
_atom_site_label
_atom_site_type_symbol
_atom_site_fract_x
_atom_site_fract_y
_atom_site_fract_z
Er1 Er 0.1450 0.1524 0.1474
Zn1 Zn 0.0000 0.3575 0.7500
Ir1 Ir 0.1370 0.3489 0.5146
# * energy of formation: -0.792 eV per atom
# * crystal system: monoclinic

***

(8)
# BeV2ZnN (PBE-GGA, relaxed)
data_BeV2ZnN
_chemical_formula_sum 'Be1 V2 Zn1 N1'
_symmetry_space_group_name_H-M 'P 4/m m m'
_symmetry_Int_Tables_number 123
_symmetry_space_group_name_Hall '-P 4 2'
_cell_length_a 3.8589
_cell_length_b 3.8589
_cell_length_c 4.0231
_cell_angle_alpha 90.00
_cell_angle_beta 90.00
_cell_angle_gamma 90.00
loop_
_atom_site_label
_atom_site_type_symbol
_atom_site_fract_x
_atom_site_fract_y
_atom_site_fract_z
Be1 Be 0.0000 0.0000 0.0000
V1 V 0.0000 0.5000 0.5000
Zn1 Zn 0.5000 0.5000 0.0000
N1 N 0.5000 0.5000 0.5000
# * relative energy among the computed polymorphs: 0.0 meV per atom
# * raw formation energy: -0.061 eV/atom
# * crystal system: tetragonal

***

Short version: ρ = 6.6, 5.9, 3.6, 9.2, 10.0, 11.1, 13.0, 5.3 g cm⁻³, in the order given.